# 1
# LaCd3Cu8 PBE optimized geometry
data_LaCd3Cu8
_chemical_formula_sum 'La1 Cd3 Cu8'
_space_group_name_H-M_alt 'P 3 m 1'
_space_group_IT_number 156
_cell_length_a 5.1360
_cell_length_b 5.1360
_cell_length_c 8.3947
_cell_angle_alpha 90.00
_cell_angle_beta 90.00
_cell_angle_gamma 120.00
loop_
_space_group_symop_operation_xyz
'x,y,z'
'-y,x-y,z'
'-x+y,-x,z'
'-y,-x,z'
'-x+y,y,z'
'x,x-y,z'
loop_
_atom_site_label
_atom_site_type_symbol
_atom_site_fract_x
_atom_site_fract_y
_atom_site_fract_z
La1 La 0.0000 0.0000 0.0000
Cd1 Cd 0.0000 0.0000 0.3919
Cd2 Cd 0.6667 0.3333 0.4873
Cd3 Cd 0.6667 0.3333 0.8408
Cu1 Cu 0.1674 0.3349 0.6777
Cu2 Cu 0.3333 0.6667 0.4305
Cu3 Cu 0.3333 0.6667 0.9308
Cu4 Cu 0.5020 0.0040 0.1926
# VASP energy in eV per atom: -3.434
# ΔH_f (0 K) in eV per atom: -0.064


# 2
# LaCd2Cu2 PBE optimized geometry
data_LaCd2Cu2
_chemical_formula_sum 'La2 Cd4 Cu4'
_space_group_name_H-M_alt 'C 1 2/m 1'
_space_group_IT_number 12
_cell_length_a 10.2181
_cell_length_b 4.1997
_cell_length_c 5.2145
_cell_angle_alpha 90.00
_cell_angle_beta 104.40
_cell_angle_gamma 90.00
loop_
_space_group_symop_operation_xyz
'x,y,z'
'-x,-y,-z'
'-x,y,-z'
'x,-y,z'
'x+1/2,y+1/2,z'
'-x+1/2,-y+1/2,-z'
'-x+1/2,y+1/2,-z'
'x+1/2,-y+1/2,z'
loop_
_atom_site_label
_atom_site_type_symbol
_atom_site_fract_x
_atom_site_fract_y
_atom_site_fract_z
La1 La 0.0000 0.0000 0.0000
Cd1 Cd 0.1475 0.5000 0.5711
Cu1 Cu 0.2247 0.5000 0.1149
# VASP energy in eV per atom: -3.208
# E above lowest polymorph in meV/atom: 0
# ΔH_f (0 K) in eV per atom: -0.218


# 3
# La2CdCu2 PBE optimized geometry
data_La2CdCu2
_chemical_formula_sum 'La4 Cd2 Cu4'
_space_group_name_H-M_alt 'C m m m'
_space_group_IT_number 65
_space_group_name_Hall '-C 2 2'
_cell_length_a 4.3268
_cell_length_b 14.7515
_cell_length_c 3.8667
_cell_angle_alpha 90.00
_cell_angle_beta 90.00
_cell_angle_gamma 90.00
loop_
_atom_site_label
_atom_site_type_symbol
_atom_site_fract_x
_atom_site_fract_y
_atom_site_fract_z
La1 La 0.0000 0.1340 0.0000
Cd1 Cd 0.0000 0.5000 0.5000
Cu1 Cu 0.0000 0.2973 0.5000
# VASP energy in eV per atom: -4.064
# ΔH_f (0 K) in eV per atom: -0.272


# 4
# La2CdCu PBE optimized geometry
data_La2CdCu
_chemical_formula_sum 'La2 Cd1 Cu1'
_space_group_name_H-M_alt 'P 1 2/m 1'
_space_group_IT_number 10
_cell_length_a 3.7504
_cell_length_b 3.7897
_cell_length_c 7.6892
_cell_angle_alpha 90.00
_cell_angle_beta 90.06
_cell_angle_gamma 90.00
loop_
_space_group_symop_operation_xyz
'x,y,z'
'-x,-y,-z'
'-x,y,-z'
'x,-y,z'
loop_
_atom_site_label
_atom_site_type_symbol
_atom_site_fract_x
_atom_site_fract_y
_atom_site_fract_z
La1 La 0.0000 0.0000 0.2216
Cd1 Cd 0.5000 0.5000 0.5000
Cu1 Cu 0.5000 0.5000 0.0000
# VASP energy in eV per atom: -3.946
# ΔH_f (0 K) in eV per atom: -0.229


# 5
# LaCd2Cu PBE optimized geometry
data_LaCd2Cu
_chemical_formula_sum 'La4 Cd8 Cu4'
_space_group_name_H-M_alt 'F m -3 m'
_space_group_IT_number 225
_space_group_name_Hall '-F 4 2 3'
_cell_length_a 7.2174
_cell_length_b 7.2174
_cell_length_c 7.2174
_cell_angle_alpha 90.00
_cell_angle_beta 90.00
_cell_angle_gamma 90.00
loop_
_atom_site_label
_atom_site_type_symbol
_atom_site_fract_x
_atom_site_fract_y
_atom_site_fract_z
La1 La 0.0000 0.0000 0.0000
Cd1 Cd 0.2500 0.2500 0.2500
Cu1 Cu 0.0000 0.0000 0.5000
# VASP energy in eV per atom: -2.813
# ΔH_f (0 K) in eV per atom: -0.100


# 6
# La2CdCu PBE optimized geometry
data_La2CdCu
_chemical_formula_sum 'La4 Cd2 Cu2'
_space_group_name_H-M_alt 'I -4 m 2'
_space_group_IT_number 119
_space_group_name_Hall 'I -4 -2'
_cell_length_a 4.5381
_cell_length_b 4.5381
_cell_length_c 10.3872
_cell_angle_alpha 90.00
_cell_angle_beta 90.00
_cell_angle_gamma 90.00
loop_
_atom_site_label
_atom_site_type_symbol
_atom_site_fract_x
_atom_site_fract_y
_atom_site_fract_z
La1 La 0.0000 0.0000 0.0000
La2 La 0.0000 0.5000 0.2500
Cd1 Cd 0.0000 0.5000 0.7500
Cu1 Cu 0.0000 0.0000 0.5000
# VASP energy in eV per atom: -3.783
# ΔH_f (0 K) in eV per atom: -0.067